Below is a PBEsol-optimized structure of LaSi2Pb, with properties calculated at the SCAN level.

Geometry as extended XYZ:
```
4
Lattice="4.760 0.000 0.000 2.380 4.122 0.000 2.380 1.374 4.949" Properties=species:S:1:pos:R:3 pbc="T T T"
La 4.760 2.748 2.475
Pb 0.000 0.000 0.000
Si 2.380 1.374 0.684
Si 7.139 4.122 4.265
```

## Properties
uncorrected energy: -34.770 eV per atom
M_tot: 0.0 μB per cell
E_form (uncorrected): -40.9 meV per atom

Below is a PBEsol-optimized structure of LaSi2Pb, with properties calculated at the SCAN level.

Geometry as extended XYZ:
```
4
Lattice="-1.533 3.855 1.005 -2.574 -1.780 2.903 5.622 -0.525 1.525" Properties=species:S:1:pos:R:3 pbc="T T T"
La -2.053 1.037 1.954
Pb 0.497 -0.634 3.191
Si 0.000 0.000 0.000
Si 1.018 2.184 2.242
```

## Properties
uncorrected energy: -34.792 eV per atom
M_tot: 0.0 μB per cell
E_form (uncorrected): -62.4 meV per atom

Below is a PBEsol-optimized structure of LaSiPb2, with properties calculated at the SCAN level.

Geometry as extended XYZ:
```
4
Lattice="4.654 0.000 0.000 0.000 4.654 0.000 -2.327 -2.327 4.787" Properties=species:S:1:pos:R:3 pbc="T T T"
La 0.000 2.327 2.394
Pb 0.000 0.000 0.000
Pb 2.327 0.000 2.394
Si 2.327 2.327 0.000
```

## Properties
uncorrected energy: -51.407 eV per atom
M_tot: 0.0 μB per cell
E_form (uncorrected): -236.6 meV per atom

Below is a PBEsol-optimized structure of La2SnPb2, with properties calculated at the SCAN level.

Geometry as extended XYZ:
```
10
Lattice="-3.875 2.281 -1.177 -1.393 -5.409 -5.898 -4.264 -4.564 5.193" Properties=species:S:1:pos:R:3 pbc="T T T"
Pb -4.222 -5.967 2.336
Pb -3.900 -7.581 -1.854
Pb -1.435 -4.006 -3.041
Pb -1.757 -2.392 1.149
Sn 0.000 0.000 0.000
Sn -2.829 -4.987 -0.353
La -5.062 -2.891 1.884
La -6.395 -6.277 -0.291
La -4.470 -4.801 -3.766
La -3.138 -1.416 -1.592
```

## Properties
uncorrected energy: -55.513 eV per atom
M_tot: 0.0 μB per cell
energy of formation from the pure elements: -0.7739 eV/atom